First-principles (GGA-PBE) data for crystalline LiMgSb2 at its relaxed geometry, as listed in Alexandria via LeMat-Bulk.

The volume is 94.8 Å³ per cell.

It has space group P4mm (No. 99), with a = 3.964 Å, b = 3.964 Å, c = 6.029 Å, α = 90.00°, β = 90.00° and γ = 90.00°. The inequivalent atoms are Li at (0.000, 0.000, 0.000), Mg at (0.500, 0.500, 0.315), Sb at (0.000, 0.000, 0.508) and Sb at (0.500, 0.500, 0.828).



First-principles (GGA-PBE) data for crystalline LiMgSb2 at its relaxed geometry, as listed in Alexandria via LeMat-Bulk.

The volume is 191.4 Å³ per cell.

It has space group Cm (No. 8), with a = 11.889 Å, b = 3.597 Å, c = 4.761 Å, α = 90.00°, β = 109.98° and γ = 90.00°. The inequivalent atoms are Li at (0.000, 0.000, 0.000), Mg at (0.234, 0.500, 0.453), Sb at (0.259, 0.000, 0.984) and Sb at (0.490, 0.000, 0.491).



First-principles (GGA-PBE) data for crystalline Li4MgSb2 at its relaxed geometry, as listed in Alexandria via LeMat-Bulk.

The volume is 427.9 Å³ per cell.

It has space group R-3m (No. 166, hexagonal axes), with a = 4.6526 Å, b = 4.6526 Å, c = 22.8250 Å, α = 90.00°, β = 90.00° and γ = 120.00°. The inequivalent atoms are Li at (0.0000, 0.0000, 0.1145), Li at (0.0000, 0.0000, 0.3686), Mg at (0.0000, 0.0000, 0.5000) and Sb at (0.0000, 0.0000, 0.2438).



First-principles (GGA-PBE) data for crystalline LiMg6Sb at its relaxed geometry, as listed in Alexandria via LeMat-Bulk.

The energy above the most stable polymorph in this dataset is 0 meV per atom. The volume is 359.1 Å³ per cell.

It has space group Amm2 (No. 38), with a = 5.035 Å, b = 6.453 Å, c = 11.051 Å, α = 90.00°, β = 90.00° and γ = 90.00°. The inequivalent atoms are Li at (0.000, 0.000, 0.000), Mg at (0.000, 0.000, 0.498), Mg at (0.000, 0.244, 0.753), Mg at (0.500, 0.000, 0.666), Mg at (0.500, 0.247, 0.918) and Sb at (0.500, 0.000, 0.162).



First-principles (GGA-PBE) data for crystalline Li2Mg2Sb at its relaxed geometry, as listed in Alexandria via LeMat-Bulk.

The energy above the most stable polymorph in this dataset is 195 meV per atom. The volume is 224.0 Å³ per cell.

It has space group I4/mmm (No. 139), with a = 4.017 Å, b = 4.017 Å, c = 13.879 Å, α = 90.00°, β = 90.00° and γ = 90.00°. The inequivalent atoms are Li at (0.000, 0.000, 0.088), Mg at (0.000, 0.500, 0.250) and Sb at (0.000, 0.000, 0.500).



First-principles (GGA-PBE) data for crystalline Li2MgSb at its relaxed geometry, as listed in Alexandria via LeMat-Bulk.

The volume is 365.4 Å³ per cell.

It has space group I-42d (No. 122), with a = 4.328 Å, b = 4.328 Å, c = 19.511 Å, α = 90.00°, β = 90.00° and γ = 90.00°. The inequivalent atoms are Li at (0.206, 0.250, 0.125), Mg at (0.000, 0.000, 0.500) and Sb at (0.000, 0.000, 0.000).



First-principles (GGA-PBE) data for crystalline LiMg2Sb at its relaxed geometry, as listed in Alexandria via LeMat-Bulk.

The volume is 92.1 Å³ per cell.

It has space group P4mm (No. 99), with a = 3.235 Å, b = 3.235 Å, c = 8.795 Å, α = 90.00°, β = 90.00° and γ = 90.00°. The inequivalent atoms are Li at (0.000, 0.000, 0.000), Mg at (0.000, 0.000, 0.518), Mg at (0.500, 0.500, 0.257) and Sb at (0.500, 0.500, 0.776).



First-principles (GGA-PBE) data for crystalline LiMgSb at its relaxed geometry, as listed in Alexandria via LeMat-Bulk.

The volume is 69.2 Å³ per cell.

It has space group P3m1 (No. 156), with a = 3.3432 Å, b = 3.3432 Å, c = 7.1487 Å, α = 90.00°, β = 90.00° and γ = 120.00°. The inequivalent atoms are Li at (0.0000, 0.0000, 0.0000), Mg at (0.6667, 0.3333, 0.3365) and Sb at (0.3333, 0.6667, 0.6891).



One value per record, in order, for DFT total energy: -3.09, -3.23, -3.07, -2.06, -2.23, -2.58, -2.43, -2.68 eV/atom.